Here is a relaxed KRh3N crystal from the Alexandria database. Energies are from GGA-PBE.

Geometry as CIF:
```
data_KRh3N
_cell_length_a 4.224
_cell_length_b 4.224
_cell_length_c 4.224
_cell_angle_alpha 90.00
_cell_angle_beta 90.00
_cell_angle_gamma 90.00
_symmetry_space_group_name_H-M 'P 1'
_symmetry_Int_Tables_number 1
_symmetry_space_group_name_Hall 'P 1'
loop_
_atom_site_label
_atom_site_type_symbol
_atom_site_fract_x
_atom_site_fract_y
_atom_site_fract_z
Rh1 Rh 0.500 0.000 0.000
Rh2 Rh 0.000 0.000 0.500
Rh3 Rh 0.000 0.500 0.000
K1 K 0.500 0.500 0.500
N1 N 0.000 0.000 0.000
```

Computed properties:
Magnetization ... 0.000 μB/atom
Crystal system ... cubic
E ... -5.78 eV/atom
E_form (uncorrected) ... 0.513 eV per atom
Energy relative to the lowest polymorph listed for this composition ... 0.00 kcal/mol of atoms



Here is a relaxed ZnGaNi3 crystal from the Alexandria database. Energies are from GGA-PBE.

Geometry as CIF:
```
data_ZnGaNi3
_cell_length_a 4.310
_cell_length_b 4.310
_cell_length_c 4.310
_cell_angle_alpha 90.00
_cell_angle_beta 90.00
_cell_angle_gamma 90.00
_symmetry_space_group_name_H-M 'P 1'
_symmetry_Int_Tables_number 1
_symmetry_space_group_name_Hall 'P 1'
loop_
_atom_site_label
_atom_site_type_symbol
_atom_site_fract_x
_atom_site_fract_y
_atom_site_fract_z
Zn1 Zn 0.500 0.500 0.500
Ga1 Ga 0.000 0.000 0.000
Ni1 Ni 0.000 0.500 0.000
Ni2 Ni 0.500 0.000 0.000
Ni3 Ni 0.000 0.000 0.500
```

Computed properties:
Magnetization ... 0.000 μB/atom
Crystal system ... cubic
E_form ... 0.614 eV/atom
E ... -3.71 eV/atom
Energy relative to the lowest polymorph listed for this composition ... 9.98 kcal/mol of atoms



Here is a relaxed Pr4Ho2Ge3O2 crystal from the Alexandria database. Energies are from GGA-PBE.

Geometry as CIF:
```
data_Pr4Ho2Ge3O2
_cell_length_a 4.740
_cell_length_b 4.740
_cell_length_c 12.543
_cell_angle_alpha 100.89
_cell_angle_beta 100.89
_cell_angle_gamma 90.00
_symmetry_space_group_name_H-M 'P 1'
_symmetry_Int_Tables_number 1
_symmetry_space_group_name_Hall 'P 1'
loop_
_atom_site_label
_atom_site_type_symbol
_atom_site_fract_x
_atom_site_fract_y
_atom_site_fract_z
Ge1 Ge 0.178 0.178 0.356
Ge2 Ge 0.822 0.822 0.644
Ge3 Ge 0.000 0.000 0.000
O1 O 0.391 0.391 0.782
O2 O 0.609 0.609 0.218
Pr1 Pr 0.918 0.418 0.835
Pr2 Pr 0.082 0.582 0.165
Pr3 Pr 0.418 0.918 0.835
Pr4 Pr 0.582 0.082 0.165
Ho1 Ho 0.299 0.299 0.599
Ho2 Ho 0.701 0.701 0.401
```

Computed properties:
Magnetization ... 0.000 μB/atom
Crystal system ... tetragonal
E ... -6.17 eV/atom
E_form (uncorrected) ... -1.440 eV per atom



Here is a relaxed Ce4P2Pt crystal from the Alexandria database. Energies are from GGA-PBE.

Geometry as CIF:
```
data_Ce4P2Pt
_cell_length_a 7.549
_cell_length_b 7.550
_cell_length_c 7.551
_cell_angle_alpha 110.72
_cell_angle_beta 110.72
_cell_angle_gamma 107.00
_symmetry_space_group_name_H-M 'P 1'
_symmetry_Int_Tables_number 1
_symmetry_space_group_name_Hall 'P 1'
loop_
_atom_site_label
_atom_site_type_symbol
_atom_site_fract_x
_atom_site_fract_y
_atom_site_fract_z
P1 P 0.125 0.257 0.632
P2 P 0.507 0.875 0.132
P3 P 0.743 0.375 0.868
P4 P 0.625 0.493 0.368
Ce1 Ce 0.869 0.761 0.253
Ce2 Ce 0.508 0.615 0.747
Ce3 Ce 0.865 0.258 0.247
Ce4 Ce 0.011 0.619 0.753
Ce5 Ce 0.384 0.131 0.893
Ce6 Ce 0.239 0.492 0.107
Ce7 Ce 0.742 0.989 0.607
Ce8 Ce 0.381 0.135 0.393
Pt1 Pt 0.250 0.750 0.500
Pt2 Pt 0.000 0.000 0.000
```

Computed properties:
Magnetization ... 0.442 μB/atom
Crystal system ... tetragonal
E_form ... -1.097 eV/atom
E ... -6.90 eV/atom